No. 1
VASP calculation (PBE-GGA) on crystalline Si23Ne3 at its relaxed geometry.

Cell lengths 10.252, 10.252, 10.252 Å; angles 90.00, 90.00, 90.00 degrees
Sites, in units of the cell vectors:
Si (0.684, 0.684, 0.316)
Si (0.000, 0.250, 0.500)
Si (0.500, 0.807, 0.617)
Si (0.184, 0.816, 0.184)
Si (0.816, 0.184, 0.816)
Si (0.316, 0.684, 0.316)
Si (0.316, 0.316, 0.684)
Si (0.383, 0.500, 0.193)
Si (0.307, 0.000, 0.883)
Ne (0.500, 0.750, 0.000)
Si (0.883, 0.307, 0.000)
Si (0.883, 0.693, 0.000)
Si (0.117, 0.693, 0.000)
Si (0.617, 0.500, 0.807)
Ne (0.500, 0.250, 0.000)
Si (0.500, 0.193, 0.383)
Ne (0.000, 0.500, 0.250)
Si (0.316, 0.316, 0.316)
Si (0.684, 0.316, 0.316)
Si (0.184, 0.184, 0.184)
Si (0.000, 0.750, 0.500)
Si (0.807, 0.617, 0.500)
Ne (0.750, 0.000, 0.500)
Si (0.500, 0.000, 0.750)
Si (0.117, 0.307, 0.000)
Si (0.816, 0.184, 0.184)
Si (0.617, 0.500, 0.193)
Si (0.316, 0.684, 0.684)
Si (0.816, 0.816, 0.184)
Si (0.693, 0.000, 0.117)
Si (0.750, 0.500, 0.000)
Si (0.000, 0.117, 0.693)
Si (0.807, 0.383, 0.500)
Ne (0.000, 0.500, 0.750)
Si (0.684, 0.316, 0.684)
Si (0.000, 0.883, 0.307)
Ne (0.250, 0.000, 0.500)
Si (0.000, 0.117, 0.307)
Si (0.500, 0.807, 0.383)
Si (0.307, 0.000, 0.117)
Si (0.500, 0.000, 0.250)
Si (0.383, 0.500, 0.807)
Si (0.184, 0.184, 0.816)
Si (0.000, 0.883, 0.693)
Si (0.693, 0.000, 0.883)
Si (0.250, 0.500, 0.000)
Si (0.184, 0.816, 0.816)
Si (0.500, 0.193, 0.617)
Si (0.193, 0.383, 0.500)
Si (0.193, 0.617, 0.500)
Si (0.816, 0.816, 0.816)
Si (0.684, 0.684, 0.684)

Properties
raw formation energy	1.7	eV per formula unit
total magnetization	0.000	μB per atom



No. 2
VASP calculation (PBE-GGA) on crystalline TaCoCu2 at its relaxed geometry.

Cell lengths 4.209, 4.209, 4.209 Å; angles 60.00, 60.00, 60.00 degrees
Sites, in units of the cell vectors:
Cu (0.250, 0.250, 0.250)
Co (0.000, 0.000, 0.000)
Ta (0.500, 0.500, 0.500)
Cu (0.750, 0.750, 0.750)

Properties
energy relative to the lowest polymorph listed for this composition	173	meV/atom
DOS at the Fermi energy	3.436	states/eV/cell
E_form	198	meV/atom
total magnetization	0.298	μB per atom



No. 3
VASP calculation (PBE-GGA) on crystalline BaIn2HgRh at its relaxed geometry.

Cell lengths 5.170, 5.170, 5.391 Å; angles 90.00, 90.00, 90.00 degrees
Sites, in units of the cell vectors:
In (0.000, 0.500, 0.000)
Rh (0.000, 0.000, 0.000)
Hg (0.000, 0.000, 0.500)
In (0.500, 0.000, 0.000)
Ba (0.500, 0.500, 0.500)

Properties
energy relative to the lowest polymorph listed for this composition	0	meV/atom
DOS at the Fermi energy	4.061	states/eV/cell
E_form	-375	meV/atom
total magnetization	0.000	μB per atom